a | The following is a DFT calculation (PBE) of crystalline PmThCo at its relaxed geometry.

```
PmThCo
1.0
4.344 0.000 0.000
-2.172 3.762 0.000
0.000 0.000 4.851
Pm Th Co
1 1 1
direct
0.000 0.000 0.000
0.667 0.333 0.506
0.333 0.667 0.431
```

Values from the calculation:
- Total moment: 0.000 μB/cell
- Space group: P3m1 (156)

b | The following is a DFT calculation (PBE) of crystalline PmThCo at its relaxed geometry.

```
PmThCo
1.0
3.535 0.000 0.000
0.000 3.535 0.000
0.000 0.000 11.654
Pm Th Co
2 2 2
direct
0.000 0.000 0.000
0.500 0.500 0.500
0.000 0.000 0.716
0.500 0.500 0.216
0.000 0.000 0.323
0.500 0.500 0.823
```

Values from the calculation:
- Total moment: 0.000 μB/cell
- Space group: I4mm (107)

c | The following is a DFT calculation (PBE) of crystalline PmThCo at its relaxed geometry.

```
PmThCo
1.0
6.813 0.000 0.000
0.000 6.813 0.000
0.000 0.000 6.813
Pm Th Co
4 4 4
direct
0.000 0.000 0.000
0.000 0.500 0.500
0.500 0.000 0.500
0.500 0.500 0.000
0.000 0.000 0.500
0.000 0.500 0.000
0.500 0.000 0.000
0.500 0.500 0.500
0.250 0.250 0.250
0.250 0.750 0.750
0.750 0.250 0.750
0.750 0.750 0.250
```

Values from the calculation:
- Total moment: 0.001 μB/cell
- Space group: F-43m (216)

d | The following is a DFT calculation (PBE) of crystalline PmThCo at its relaxed geometry.

```
PmThCo
1.0
3.885 0.000 0.000
0.000 3.875 0.000
-0.027 0.000 10.791
Pm Th Co
2 2 2
direct
0.250 0.250 0.112
0.750 0.750 0.888
0.248 0.250 0.629
0.752 0.750 0.371
0.252 0.250 0.364
0.748 0.750 0.636
```

Values from the calculation:
- Total moment: 0.001 μB/cell
- Space group: P2_1/m (11)

Which of them is the most stable, and which is the least stable? d and c, in that order.

a | The following is a DFT calculation (PBE) of crystalline PmThCo4 at its relaxed geometry.

```
PmThCo4
1.0
0.000 3.609 3.609
3.609 0.000 3.609
3.609 3.609 0.000
Pm Th Co
1 1 4
direct
0.000 0.000 0.000
0.250 0.250 0.250
0.125 0.625 0.625
0.625 0.125 0.625
0.625 0.625 0.125
0.625 0.625 0.625
```

Values from the calculation:
- Total moment: 0.002 μB/cell
- Space group: F-43m (216)

b | The following is a DFT calculation (PBE) of crystalline PmThCo4 at its relaxed geometry.

```
PmThCo4
1.0
3.952 0.000 0.000
0.000 4.022 0.000
0.000 0.000 6.816
Pm Th Co
1 1 4
direct
0.000 0.000 0.000
0.500 0.000 0.500
0.000 0.500 0.334
0.000 0.500 0.666
0.500 0.500 0.170
0.500 0.500 0.830
```

Values from the calculation:
- Total moment: 1.690 μB/cell
- Space group: Pmmm (47)

Which of them is the most stable, and which is the least stable? b and a, in that order.